# PBE Ho5Al4Cd, relaxed
# ΔH_f (0 K): -0.38 eV/atom
data_Ho5Al4Cd
_cell_length_a 3.580
_cell_length_b 3.580
_cell_length_c 18.383
_cell_angle_alpha 90.00
_cell_angle_beta 90.00
_cell_angle_gamma 90.00
_space_group_name_H-M_alt 'P 4/m m m'
_space_group_IT_number 123
_space_group_name_Hall '-P 4 2'
loop_
_atom_site_label
_atom_site_type_symbol
_atom_site_fract_x
_atom_site_fract_y
_atom_site_fract_z
_atom_site_occupancy
Ho1 Ho 0.000 0.000 0.000 1
Ho2 Ho 0.000 0.000 0.194 1
Ho3 Ho 0.000 0.000 0.391 1
Al1 Al 0.500 0.500 0.097 1
Al2 Al 0.500 0.500 0.294 1
Cd1 Cd 0.500 0.500 0.500 1